[1]
# Ac3CuNi

Ac3CuNi after structural relaxation (PBE, Alexandria).

abc: 11.571 6.929 8.264
angles: 90.00 111.09 90.00
Space group C2/m (No. 12)
Unique sites:
Ac  0.004  0.000  0.239 (multiplicity 4)
Ac  0.185  0.500  0.852 (multiplicity 4)
Ac  0.187  0.500  0.334 (multiplicity 4)
Cu  0.000  0.316  0.500 (multiplicity 4)
Ni  0.000  0.318  0.000 (multiplicity 4)

V = 618.2 Å³ per cell
calculated total energy = -91.5 eV/cell
M_tot = 0.00 μB/cell



[2]
# NdSm8Dy2

NdSm8Dy2 after structural relaxation (PBE, Alexandria).

abc: 16.806 6.757 6.714
angles: 90.00 99.80 90.00
Space group C2/m (No. 12)
Unique sites:
Nd  0.000  0.000  0.000 (multiplicity 2)
Sm  0.089  0.263  0.409 (multiplicity 8)
Sm  0.091  0.500  0.910 (multiplicity 4)
Sm  0.244  0.000  0.313 (multiplicity 4)
Dy  0.203  0.000  0.803 (multiplicity 4)

V = 751.3 Å³ per cell
calculated total energy = -99.8 eV/cell
energy above the most stable polymorph in this dataset = 49 meV per atom
M_tot = 0.00 μB/cell